Ta3FeTc: optimized geometry, PBE-GGA.

a = 4.5196 Å, b = 4.5196 Å, c = 4.5196 Å
α = 90.00°, β = 90.00°, γ = 90.00°
Closest atoms and distances in Å follow each position.
Space group Pm-3m (No. 221)
Symmetry-distinct sites (fractional):
Ta (0.0000, 0.0000, 0.5000)  2 Fe 2.26
Fe (0.0000, 0.0000, 0.0000)  6 Ta 2.26
Tc (0.5000, 0.5000, 0.5000)  12 Ta 3.20

Summary:
Energy of formation from the pure elements, eV/f.u.: 4.5
Offset from the most stable computed form, meV/atom: 0


AlCdFe2: optimized geometry, PBE-GGA.

a = 2.7640 Å, b = 2.7640 Å, c = 26.4470 Å
α = 90.00°, β = 90.00°, γ = 120.00°
Closest atoms and distances in Å follow each position.
Space group R-3m (No. 166, hexagonal axes)
Symmetry-distinct sites (fractional):
Al (0.0000, 0.0000, 0.0000)  6 Fe 2.58, 6 Al 2.76
Cd (0.0000, 0.0000, 0.5000)  6 Cd 2.76, 6 Fe 2.86
Fe (0.0000, 0.0000, 0.2564)  3 Al 2.58, 6 Fe 2.76, 3 Cd 2.86

Summary:
Energy of formation from the pure elements, eV/f.u.: 0.6
Offset from the most stable computed form, meV/atom: 95


In4Re3: optimized geometry, PBE-GGA.

a = 5.4064 Å, b = 5.4064 Å, c = 5.2846 Å
α = 90.00°, β = 90.00°, γ = 120.00°
Closest atoms and distances in Å follow each position.
Space group P6/mmm (No. 191)
Symmetry-distinct sites (fractional):
In (0.0000, 0.0000, 0.2482)  2 In 2.62-2.66
In (0.3333, 0.6667, 0.0000)  6 Re 3.07, 9 In 3.12-3.39
Re (0.0000, 0.5000, 0.5000)  4 Re 2.70, 4 In 3.01

Summary:
Energy of formation from the pure elements, eV/f.u.: 3.3
Offset from the most stable computed form, meV/atom: 0


Y3TeAsSe: optimized geometry, PBE-GGA.

a = 6.9862 Å, b = 14.6651 Å, c = 6.9392 Å
α = 90.00°, β = 108.02°, γ = 90.00°
Closest atoms and distances in Å follow each position.
Space group C2/c (No. 15)
Symmetry-distinct sites (fractional):
Y (0.0000, 0.2493, 0.2500)  1 As 2.73, 1 Se 2.80
Y (0.2417, 0.0721, 0.9982)  2 As 2.78-2.82, 2 Se 2.85-2.86
Te (0.0000, 0.2511, 0.7500)  8 Y 3.30-3.49
As (0.0000, 0.0630, 0.2500)  5 Y 2.73-2.82
Se (0.0000, 0.4400, 0.2500)  5 Y 2.80-2.86

Summary:
E_form (uncorrected), kJ per mole of atoms: -128.7


Hf2GaSn2: optimized geometry, PBE-GGA.

a = 7.5348 Å, b = 7.5348 Å, c = 3.9749 Å
α = 90.00°, β = 90.00°, γ = 90.00°
Closest atoms and distances in Å follow each position.
Space group P4/mbm (No. 127)
Symmetry-distinct sites (fractional):
Hf (0.1521, 0.3479, 0.0000)  6 Sn 2.91-3.02, 1 Hf 3.24
Ga (0.0000, 0.0000, 0.5000)  4 Sn 2.87
Sn (0.1488, 0.6488, 0.5000)  2 Ga 2.87, 6 Hf 2.91-3.02, 1 Sn 3.17

Summary:
Energy of formation from the pure elements, eV/f.u.: 0.1
Offset from the most stable computed form, meV/atom: 239


HgSe2F2: optimized geometry, PBE-GGA.

a = 8.1643 Å, b = 8.1643 Å, c = 2.7523 Å
α = 90.00°, β = 90.00°, γ = 90.00°
Closest atoms and distances in Å follow each position.
Space group P4/mbm (No. 127)
Symmetry-distinct sites (fractional):
Hg (0.0000, 0.0000, 0.0000)  2 Hg 2.75, 4 F 2.91
Se (0.1017, 0.3983, 0.5000)  1 Se 2.35, 2 F 2.51
F (0.2160, 0.7160, 0.0000)  2 Se 2.51, 2 F 2.75

Summary:
E_form (uncorrected), kJ per mole of atoms: -36.2
Offset from the most stable computed form, meV/atom: 44


Cr2SiRu: optimized geometry, PBE-GGA.

a = 3.4555 Å, b = 3.4555 Å, c = 4.1535 Å
α = 90.00°, β = 90.00°, γ = 90.00°
Closest atoms and distances in Å follow each position.
Space group P4/mmm (No. 123)
Symmetry-distinct sites (fractional):
Cr (0.0000, 0.5000, 0.0000)  4 Cr 2.44, 4 Ru 2.70, 4 Si 2.70
Si (0.0000, 0.0000, 0.5000)  4 Ru 2.44, 8 Cr 2.70
Ru (0.5000, 0.5000, 0.5000)  4 Si 2.44, 8 Cr 2.70

Summary:
E_form (uncorrected), kJ per mole of atoms: -10.6


Tl2InSnHg: optimized geometry, PBE-GGA.

a = 6.5820 Å, b = 5.3953 Å, c = 8.2682 Å
α = 90.00°, β = 100.80°, γ = 90.00°
Closest atoms and distances in Å follow each position.
Space group P2_1/m (No. 11)
Symmetry-distinct sites (fractional):
Tl (0.0382, 0.2500, 0.3560)  3 Hg 3.29-3.34, 3 Sn 3.46-3.50, 3 In 3.51-3.67, 1 Tl 3.52
Tl (0.4558, 0.2500, 0.1443)  3 Hg 3.29-3.32, 1 Sn 3.38, 3 In 3.48-3.61, 1 Tl 3.52
In (0.1177, 0.7500, 0.0736)  1 Hg 3.09, 1 Sn 3.22, 2 In 3.23
Sn (0.3790, 0.7500, 0.4434)  1 Hg 3.12, 2 Sn 3.18, 1 In 3.22, 2 Tl 3.38-3.46
Hg (0.2556, 0.2500, 0.7487)  1 In 3.09, 1 Sn 3.12, 6 Tl 3.29-3.34

Summary:
Energy of formation from the pure elements, eV/f.u.: 0.1


Number 1: DOS(E_F) 6.91 states/eV/f.u.. Number 2: DOS(E_F) 1.88 states/eV/f.u.. Number 3: DOS(E_F) 1.83 states/eV/f.u.. Number 4: DOS(E_F) 4.40 states/eV/f.u.. Number 5: DOS(E_F) 3.02 states/eV/f.u.. Number 6: DOS(E_F) 3.51 states/eV/f.u.. Number 7: DOS(E_F) 3.03 states/eV/f.u.. Number 8: DOS(E_F) 1.97 states/eV/f.u..